Here is a geometry-optimized DyY6Hg2 structure from Alexandria via LeMat-Bulk. Energies are from PBE. Values from VASP.

```
&SYSTEM
  ibrav = 0, nat = 9, ntyp = 3
/
ATOMIC_SPECIES
Y 88.91 Y.upf
Hg 200.59 Hg.upf
Dy 162.50 Dy.upf
ATOMIC_POSITIONS crystal
Y 0.688 0.501 0.124
Y 0.018 0.301 0.663
Y 0.312 0.499 0.876
Y 0.312 0.790 0.587
Y 0.688 0.210 0.413
Y 0.982 0.699 0.337
Hg 0.642 0.918 0.797
Hg 0.358 0.082 0.203
Dy 0.000 0.000 0.000
CELL_PARAMETERS angstrom
3.671 0.000 0.583
1.612 6.175 1.702
0.022 -0.090 11.716
```

Summary:
As for the formation enthalpy at 0 K: -0.217 eV/atom. Its space group is C2/m, No. 12. As for the final energy: -45.9 eV per cell.